First-principles (PBE with a Hubbard U) data for a relaxed NaGa2MoO6 crystal, as listed in the Alexandria database.

Calculated values
E	-6.117	eV per atom

a b c (Å): 7.233 7.233 6.099
angles (deg): 105.79 105.79 99.98
Atoms (fractional coordinates):
Na1 0.100 0.900 0.750
Na2 0.900 0.100 0.250
Ga1 0.293 0.440 0.823
Ga2 0.440 0.293 0.323
Ga3 0.560 0.707 0.677
Ga4 0.707 0.560 0.177
Mo1 0.195 0.805 0.250
Mo2 0.805 0.195 0.750
O1 0.050 0.219 0.693
O2 0.157 0.633 0.944
O3 0.219 0.050 0.193
O4 0.327 0.443 0.529
O5 0.367 0.843 0.556
O6 0.443 0.327 0.029
O7 0.557 0.673 0.971
O8 0.633 0.157 0.444
O9 0.673 0.557 0.471
O10 0.781 0.950 0.807
O11 0.843 0.367 0.056
O12 0.950 0.781 0.307